## V12Ga3Mo (PBE-GGA)

Data for V12Ga3Mo after structural relaxation.

crystal system = orthorhombic
formation energy from the elements = -151 meV/atom
DOS at the Fermi energy = 1.481 states/eV/atom

abc: 4.7777 4.8219 9.5758
angles: 90.00 90.00 90.00
Last column: nearest neighbours and their distance in Å.
Space group Pmmm (No. 47)
Inequivalent atoms, fractional coordinates:
1 V 0.0000 0.0000 0.1251 (multiplicity 2)  2 V 2.39-2.40, 2 Mo 2.67
2 V 0.0000 0.0000 0.3748 (multiplicity 2)  2 V 2.39-2.40, 2 Ga 2.67
3 V 0.2522 0.5000 0.0000 (multiplicity 2)  2 V 2.37-2.41
4 V 0.2545 0.5000 0.5000 (multiplicity 2)  2 V 2.35-2.43
5 V 0.5000 0.2460 0.2504 (multiplicity 4)  2 V 2.37-2.45
6 Ga 0.0000 0.5000 0.2509 (multiplicity 2)  12 V 2.68-2.70
7 Ga 0.5000 0.0000 0.5000 (multiplicity 1)  12 V 2.67-2.68
8 Mo 0.5000 0.0000 0.0000 (multiplicity 1)  12 V 2.67-2.69



## V6Ga5Mo (PBE-GGA)

Data for V6Ga5Mo after structural relaxation.

crystal system = orthorhombic
formation energy from the elements = -178 meV/atom
DOS at the Fermi energy = 0.607 states/eV/atom

abc: 3.4769 8.0790 12.0820
angles: 90.00 90.00 90.00
Last column: nearest neighbours and their distance in Å.
Space group Immm (No. 71)
Inequivalent atoms, fractional coordinates:
1 V 0.0000 0.2465 0.1694 (multiplicity 8)  4 V 2.61-2.69, 7 Ga 2.64-2.86, 1 Mo 2.90
2 V 0.0000 0.2472 0.5000 (multiplicity 4)  2 Mo 2.65, 6 Ga 2.68-2.86, 4 V 2.69
3 Ga 0.0000 0.0000 0.0000 (multiplicity 2)  4 Ga 2.65, 8 V 2.68-2.86
4 Ga 0.0000 0.0000 0.3335 (multiplicity 4)  2 Mo 2.66, 2 Ga 2.67, 8 V 2.69-2.83
5 Ga 0.0000 0.5000 0.3343 (multiplicity 4)  8 V 2.64-2.86, 4 Ga 2.65-2.67
6 Mo 0.0000 0.5000 0.0000 (multiplicity 2)  8 V 2.65-2.90, 4 Ga 2.66



## V2GaMo (PBE-GGA)

Data for V2GaMo after structural relaxation.

crystal system = tetragonal
formation energy from the elements = -174 meV/atom
DOS at the Fermi energy = 0.942 states/eV/atom

abc: 3.1735 3.1735 5.7196
angles: 90.00 90.00 90.00
Last column: nearest neighbours and their distance in Å.
Space group P4/mmm (No. 123)
Inequivalent atoms, fractional coordinates:
1 V 0.0000 0.0000 0.2447 (multiplicity 2)  4 Mo 2.64, 4 Ga 2.68, 2 V 2.80-2.92
2 Ga 0.5000 0.5000 0.5000 (multiplicity 1)  8 V 2.68, 2 Mo 2.86
3 Mo 0.5000 0.5000 0.0000 (multiplicity 1)  8 V 2.64, 2 Ga 2.86



## V12Ga6Mo (PBE-GGA)

Data for V12Ga6Mo after structural relaxation.

crystal system = trigonal
formation energy from the elements = -9 meV/atom
DOS at the Fermi energy = 1.198 states/eV/atom

abc: 9.2112 9.2112 11.1496
angles: 90.00 90.00 120.00
Last column: nearest neighbours and their distance in Å.
Space group R-3 (No. 148, hexagonal axes)
Inequivalent atoms, fractional coordinates:
1 V 0.0500 0.1827 0.3071 (multiplicity 18)  4 V 2.59-2.66, 1 Mo 2.63, 5 Ga 2.67-2.85
2 V 0.0682 0.8489 0.9149 (multiplicity 18)  4 Ga 2.54-2.70, 4 V 2.61-2.68
3 Ga 0.0233 0.4342 0.2109 (multiplicity 18)  8 V 2.54-2.82, 1 Mo 2.62, 2 Ga 2.76
4 Mo 0.0000 0.0000 0.5000 (multiplicity 3)  6 Ga 2.62, 6 V 2.63



## V3Ga2Mo4 (PBE-GGA)

Data for V3Ga2Mo4 after structural relaxation.

crystal system = monoclinic
formation energy from the elements = 100 meV/atom
DOS at the Fermi energy = 0.756 states/eV/atom

abc: 7.0833 8.1083 4.9189
angles: 90.00 104.29 90.00
Last column: nearest neighbours and their distance in Å.
Space group P2_1/c (No. 14)
Inequivalent atoms, fractional coordinates:
1 V 0.0000 0.0000 0.0000 (multiplicity 2)  4 Mo 2.43-2.67
2 V 0.2097 0.1710 0.6508 (multiplicity 4)  3 Mo 2.45-2.74, 2 Ga 2.62
3 Ga 0.4657 0.7475 0.9859 (multiplicity 4)  2 Ga 2.46, 6 Mo 2.58-2.73, 2 V 2.62
4 Mo 0.1334 0.6567 0.1083 (multiplicity 4)  3 V 2.45-2.71, 2 Ga 2.67-2.73
5 Mo 0.3499 0.0127 0.1892 (multiplicity 4)  1 V 2.43, 4 Ga 2.58-2.62



## V4GaMo (PBE-GGA)

Data for V4GaMo after structural relaxation.

crystal system = monoclinic
formation energy from the elements = 593 meV/atom
DOS at the Fermi energy = 1.150 states/eV/atom

abc: 7.0369 4.1201 7.2579
angles: 90.00 108.54 90.00
Last column: nearest neighbours and their distance in Å.
Space group C2/m (No. 12)
Inequivalent atoms, fractional coordinates:
1 V 0.1207 0.0000 0.3661 (multiplicity 4)  1 Mo 2.52, 3 Ga 2.53-2.54
2 V 0.1230 0.5000 0.8706 (multiplicity 4)  3 Mo 2.52-2.53, 1 Ga 2.55
3 Ga 0.0000 0.5000 0.5000 (multiplicity 2)  8 V 2.53-2.55
4 Mo 0.0000 0.0000 0.0000 (multiplicity 2)  8 V 2.52-2.53



## V5GaMo4 (PBE-GGA)

Data for V5GaMo4 after structural relaxation.

crystal system = tetragonal
formation energy from the elements = -153 meV/atom
DOS at the Fermi energy = 0.636 states/eV/atom

abc: 3.1126 3.1126 14.9354
angles: 90.00 90.00 90.00
Last column: nearest neighbours and their distance in Å.
Space group P4/mmm (No. 123)
Inequivalent atoms, fractional coordinates:
1 V 0.0000 0.0000 0.0000 (multiplicity 1)  8 Mo 2.68
2 V 0.0000 0.0000 0.2029 (multiplicity 2)  8 Mo 2.67-2.70, 1 V 2.95
3 V 0.0000 0.0000 0.4008 (multiplicity 2)  4 Mo 2.61, 4 Ga 2.65
4 Ga 0.5000 0.5000 0.5000 (multiplicity 1)  8 V 2.65, 2 Mo 2.88
5 Mo 0.5000 0.5000 0.1022 (multiplicity 2)  8 V 2.67-2.68
6 Mo 0.5000 0.5000 0.3073 (multiplicity 2)  8 V 2.61-2.70, 1 Ga 2.88



## GaMoW3 (PBE-GGA)

Data for GaMoW3 after structural relaxation.

crystal system = cubic
formation energy from the elements = 2101 meV/atom
DOS at the Fermi energy = 1.140 states/eV/atom

abc: 4.7497 4.7497 4.7497
angles: 90.00 90.00 90.00
Last column: nearest neighbours and their distance in Å.
Space group Pm-3m (No. 221)
Inequivalent atoms, fractional coordinates:
1 Ga 0.0000 0.0000 0.0000 (multiplicity 1)  12 W 3.36
2 Mo 0.5000 0.5000 0.5000 (multiplicity 1)  6 W 2.37
3 W 0.0000 0.5000 0.5000 (multiplicity 3)  2 Mo 2.37



## Ga2Mo2W (PBE-GGA)

Data for Ga2Mo2W after structural relaxation.

crystal system = tetragonal
formation energy from the elements = 102 meV/atom
DOS at the Fermi energy = 0.736 states/eV/atom

abc: 6.7888 6.7888 3.3404
angles: 90.00 90.00 90.00
Last column: nearest neighbours and their distance in Å.
Space group P4/mbm (No. 127)
Inequivalent atoms, fractional coordinates:
1 Ga 0.1298 0.3702 0.0000 (multiplicity 4)  1 Ga 2.49, 6 Mo 2.54-2.65, 2 W 2.66
2 Mo 0.1711 0.6711 0.5000 (multiplicity 4)  6 Ga 2.54-2.65
3 W 0.0000 0.0000 0.0000 (multiplicity 2)  4 Ga 2.66



## Ga2MoW (PBE-GGA)

Data for Ga2MoW after structural relaxation.

crystal system = cubic
formation energy from the elements = 305 meV/atom
DOS at the Fermi energy = 0.965 states/eV/atom

abc: 6.2496 6.2496 6.2496
angles: 90.00 90.00 90.00
Last column: nearest neighbours and their distance in Å.
Space group Fm-3m (No. 225)
Inequivalent atoms, fractional coordinates:
1 Ga 0.2500 0.2500 0.2500 (multiplicity 8)  4 W 2.71, 4 Mo 2.71
2 Mo 0.0000 0.0000 0.0000 (multiplicity 4)  8 Ga 2.71
3 W 0.0000 0.0000 0.5000 (multiplicity 4)  8 Ga 2.71



## Ga2MoW (PBE-GGA)

Data for Ga2MoW after structural relaxation.

crystal system = tetragonal
formation energy from the elements = 594 meV/atom
DOS at the Fermi energy = 0.955 states/eV/atom

abc: 6.9698 6.9698 5.4852
angles: 90.00 90.00 90.00
Last column: nearest neighbours and their distance in Å.
Space group I-42d (No. 122)
Inequivalent atoms, fractional coordinates:
1 Ga 0.2491 0.2500 0.1250 (multiplicity 8)  2 Mo 2.55, 2 W 2.56, 2 Ga 2.74
2 Mo 0.0000 0.0000 0.0000 (multiplicity 4)  4 Ga 2.55, 2 W 2.74
3 W 0.0000 0.0000 0.5000 (multiplicity 4)  4 Ga 2.56, 2 Mo 2.74



## Ga2MoW2 (PBE-GGA)

Data for Ga2MoW2 after structural relaxation.

crystal system = tetragonal
formation energy from the elements = 257 meV/atom
DOS at the Fermi energy = 0.592 states/eV/atom

abc: 6.7523 6.7523 3.3926
angles: 90.00 90.00 90.00
Last column: nearest neighbours and their distance in Å.
Space group P4/mbm (No. 127)
Inequivalent atoms, fractional coordinates:
1 Ga 0.1316 0.3684 0.0000 (multiplicity 4)  1 Ga 2.51, 6 W 2.56-2.65, 2 Mo 2.64
2 Mo 0.0000 0.0000 0.0000 (multiplicity 2)  4 Ga 2.64
3 W 0.1683 0.6683 0.5000 (multiplicity 4)  6 Ga 2.56-2.65



Question: Which formula does entry 8 have?
Answer: GaMoW3



Question: Which of these has the highest formation energy from the elements?
Answer: GaMoW3